Arrangement A

# MgGeCl2 | the Alexandria database | PBE | relaxed
# * magnetization: 0.00 μB per formula unit
# * density of states at the Fermi level: 0.80 states/eV per atom
# * space group: Fm-3m
data_MgGeCl2
_chemical_formula_sum 'Mg1 Ge1 Cl2'
_cell_length_a 4.931
_cell_length_b 4.931
_cell_length_c 4.931
_cell_angle_alpha 60.00
_cell_angle_beta 60.00
_cell_angle_gamma 60.00
_space_group_name_H-M_alt 'P 1'
_space_group_IT_number 1
loop_
_space_group_symop_operation_xyz
'x,y,z'
loop_
_atom_site_label
_atom_site_type_symbol
_atom_site_fract_x
_atom_site_fract_y
_atom_site_fract_z
Mg1 Mg 0.000 0.000 0.000
Ge1 Ge 0.500 0.500 0.500
Cl1 Cl 0.250 0.250 0.250
Cl2 Cl 0.750 0.750 0.750

***

Arrangement B

# MgGeCl2 | the Alexandria database | PBE | relaxed
# * magnetization: 2.00 μB per formula unit
# * density of states at the Fermi level: 0.20 states/eV per atom
# * space group: I-42d
data_MgGeCl2
_chemical_formula_sum 'Mg2 Ge2 Cl4'
_cell_length_a 7.044
_cell_length_b 7.044
_cell_length_c 7.044
_cell_angle_alpha 116.79
_cell_angle_beta 116.79
_cell_angle_gamma 95.66
_space_group_name_H-M_alt 'P 1'
_space_group_IT_number 1
loop_
_space_group_symop_operation_xyz
'x,y,z'
loop_
_atom_site_label
_atom_site_type_symbol
_atom_site_fract_x
_atom_site_fract_y
_atom_site_fract_z
Mg1 Mg 0.000 0.000 0.000
Mg2 Mg 0.750 0.250 0.500
Ge1 Ge 0.250 0.750 0.500
Ge2 Ge 0.500 0.500 0.000
Cl1 Cl 0.375 0.245 0.370
Cl2 Cl 0.755 0.125 0.130
Cl3 Cl 0.875 0.005 0.630
Cl4 Cl 0.995 0.625 0.870

***

Computed energies relative to the best structure, in meV/atom: arrangement A 241; arrangement B 0

***

Arrangement A

# MgGeCl4 | the Alexandria database | PBE | relaxed
# * magnetization: 0.00 μB per formula unit
# * density of states at the Fermi level: 0.00 states/eV per atom
# * space group: C2/m
data_MgGeCl4
_chemical_formula_sum 'Mg2 Ge2 Cl8'
_cell_length_a 8.446
_cell_length_b 8.446
_cell_length_c 8.689
_cell_angle_alpha 110.94
_cell_angle_beta 110.94
_cell_angle_gamma 35.94
_space_group_name_H-M_alt 'P 1'
_space_group_IT_number 1
loop_
_space_group_symop_operation_xyz
'x,y,z'
loop_
_atom_site_label
_atom_site_type_symbol
_atom_site_fract_x
_atom_site_fract_y
_atom_site_fract_z
Mg1 Mg 0.207 0.207 0.322
Mg2 Mg 0.793 0.793 0.678
Ge1 Ge 0.107 0.107 0.742
Ge2 Ge 0.893 0.893 0.258
Cl1 Cl 0.059 0.059 0.371
Cl2 Cl 0.114 0.114 0.025
Cl3 Cl 0.283 0.283 0.637
Cl4 Cl 0.350 0.350 0.270
Cl5 Cl 0.650 0.650 0.730
Cl6 Cl 0.717 0.717 0.363
Cl7 Cl 0.886 0.886 0.975
Cl8 Cl 0.941 0.941 0.629

***

Arrangement B

# MgGeCl4 | the Alexandria database | PBE | relaxed
# * magnetization: 0.00 μB per formula unit
# * density of states at the Fermi level: 0.00 states/eV per atom
# * space group: C2/m
data_MgGeCl4
_chemical_formula_sum 'Mg1 Ge1 Cl4'
_cell_length_a 7.530
_cell_length_b 7.530
_cell_length_c 6.677
_cell_angle_alpha 114.92
_cell_angle_beta 114.92
_cell_angle_gamma 29.09
_space_group_name_H-M_alt 'P 1'
_space_group_IT_number 1
loop_
_space_group_symop_operation_xyz
'x,y,z'
loop_
_atom_site_label
_atom_site_type_symbol
_atom_site_fract_x
_atom_site_fract_y
_atom_site_fract_z
Mg1 Mg 0.000 0.000 0.000
Ge1 Ge 0.500 0.500 0.500
Cl1 Cl 0.109 0.109 0.415
Cl2 Cl 0.395 0.395 0.053
Cl3 Cl 0.605 0.605 0.947
Cl4 Cl 0.891 0.891 0.585

***

Computed energies relative to the best structure, in meV/atom: arrangement A 56; arrangement B 0

***

Arrangement A

# MnGeCl3 | the Alexandria database | PBE | relaxed
# * magnetization: 5.99 μB per formula unit
# * density of states at the Fermi level: 0.68 states/eV per atom
# * space group: Pm-3m
data_MnGeCl3
_chemical_formula_sum 'Mn1 Ge1 Cl3'
_cell_length_a 5.197
_cell_length_b 5.197
_cell_length_c 5.197
_cell_angle_alpha 90.00
_cell_angle_beta 90.00
_cell_angle_gamma 90.00
_space_group_name_H-M_alt 'P 1'
_space_group_IT_number 1
loop_
_space_group_symop_operation_xyz
'x,y,z'
loop_
_atom_site_label
_atom_site_type_symbol
_atom_site_fract_x
_atom_site_fract_y
_atom_site_fract_z
Mn1 Mn 0.000 0.000 0.000
Ge1 Ge 0.500 0.500 0.500
Cl1 Cl 0.000 0.500 0.500
Cl2 Cl 0.500 0.000 0.500
Cl3 Cl 0.500 0.500 0.000

***

Arrangement B

# MnGeCl3 | the Alexandria database | PBE | relaxed
# * magnetization: 6.00 μB per formula unit
# * density of states at the Fermi level: 0.39 states/eV per atom
# * space group: Pm-3m
data_MnGeCl3
_chemical_formula_sum 'Mn1 Ge1 Cl3'
_cell_length_a 4.961
_cell_length_b 4.961
_cell_length_c 4.961
_cell_angle_alpha 90.00
_cell_angle_beta 90.00
_cell_angle_gamma 90.00
_space_group_name_H-M_alt 'P 1'
_space_group_IT_number 1
loop_
_space_group_symop_operation_xyz
'x,y,z'
loop_
_atom_site_label
_atom_site_type_symbol
_atom_site_fract_x
_atom_site_fract_y
_atom_site_fract_z
Mn1 Mn 0.000 0.000 0.000
Ge1 Ge 0.500 0.500 0.500
Cl1 Cl 0.000 0.000 0.500
Cl2 Cl 0.000 0.500 0.000
Cl3 Cl 0.500 0.000 0.000

***

Computed energies relative to the best structure, in meV/atom: arrangement A 177; arrangement B 0

***

Arrangement A

# MnGeCl2 | the Alexandria database | PBE | relaxed
# * magnetization: 3.01 μB per formula unit
# * density of states at the Fermi level: 0.12 states/eV per atom
# * space group: I-42d
data_MnGeCl2
_chemical_formula_sum 'Mn2 Ge2 Cl4'
_cell_length_a 6.764
_cell_length_b 6.764
_cell_length_c 6.764
_cell_angle_alpha 97.85
_cell_angle_beta 97.85
_cell_angle_gamma 136.61
_space_group_name_H-M_alt 'P 1'
_space_group_IT_number 1
loop_
_space_group_symop_operation_xyz
'x,y,z'
loop_
_atom_site_label
_atom_site_type_symbol
_atom_site_fract_x
_atom_site_fract_y
_atom_site_fract_z
Mn1 Mn 0.000 0.000 0.000
Mn2 Mn 0.750 0.250 0.500
Ge1 Ge 0.250 0.750 0.500
Ge2 Ge 0.500 0.500 0.000
Cl1 Cl 0.375 0.219 0.344
Cl2 Cl 0.781 0.125 0.156
Cl3 Cl 0.875 0.031 0.656
Cl4 Cl 0.969 0.625 0.844

***

Arrangement B

# MnGeCl2 | the Alexandria database | PBE | relaxed
# * magnetization: 3.83 μB per formula unit
# * density of states at the Fermi level: 0.57 states/eV per atom
# * space group: Fm-3m
data_MnGeCl2
_chemical_formula_sum 'Mn1 Ge1 Cl2'
_cell_length_a 4.785
_cell_length_b 4.785
_cell_length_c 4.785
_cell_angle_alpha 60.00
_cell_angle_beta 60.00
_cell_angle_gamma 60.00
_space_group_name_H-M_alt 'P 1'
_space_group_IT_number 1
loop_
_space_group_symop_operation_xyz
'x,y,z'
loop_
_atom_site_label
_atom_site_type_symbol
_atom_site_fract_x
_atom_site_fract_y
_atom_site_fract_z
Mn1 Mn 0.000 0.000 0.000
Ge1 Ge 0.500 0.500 0.500
Cl1 Cl 0.250 0.250 0.250
Cl2 Cl 0.750 0.750 0.750

***

Computed energies relative to the best structure, in meV/atom: arrangement A 0; arrangement B 339

***

Arrangement A

# MnGe3Cl | the Alexandria database | PBE | relaxed
# * magnetization: 0.00 μB per formula unit
# * density of states at the Fermi level: 0.00 states/eV per atom
# * space group: Pm-3m
data_MnGe3Cl
_chemical_formula_sum 'Mn1 Ge3 Cl1'
_cell_length_a 4.668
_cell_length_b 4.668
_cell_length_c 4.668
_cell_angle_alpha 90.00
_cell_angle_beta 90.00
_cell_angle_gamma 90.00
_space_group_name_H-M_alt 'P 1'
_space_group_IT_number 1
loop_
_space_group_symop_operation_xyz
'x,y,z'
loop_
_atom_site_label
_atom_site_type_symbol
_atom_site_fract_x
_atom_site_fract_y
_atom_site_fract_z
Mn1 Mn 0.000 0.000 0.000
Ge1 Ge 0.000 0.000 0.500
Ge2 Ge 0.000 0.500 0.000
Ge3 Ge 0.500 0.000 0.000
Cl1 Cl 0.500 0.500 0.500

***

Arrangement B

# MnGe3Cl | the Alexandria database | PBE | relaxed
# * magnetization: 4.13 μB per formula unit
# * density of states at the Fermi level: 0.51 states/eV per atom
# * space group: Pm-3m
data_MnGe3Cl
_chemical_formula_sum 'Mn1 Ge3 Cl1'
_cell_length_a 4.932
_cell_length_b 4.932
_cell_length_c 4.932
_cell_angle_alpha 90.00
_cell_angle_beta 90.00
_cell_angle_gamma 90.00
_space_group_name_H-M_alt 'P 1'
_space_group_IT_number 1
loop_
_space_group_symop_operation_xyz
'x,y,z'
loop_
_atom_site_label
_atom_site_type_symbol
_atom_site_fract_x
_atom_site_fract_y
_atom_site_fract_z
Mn1 Mn 0.000 0.000 0.000
Ge1 Ge 0.000 0.500 0.500
Ge2 Ge 0.500 0.000 0.500
Ge3 Ge 0.500 0.500 0.000
Cl1 Cl 0.500 0.500 0.500

***

Computed energies relative to the best structure, in meV/atom: arrangement A 0; arrangement B 1118

***

Arrangement A

# MnGeP2Cl | the Alexandria database | PBE | relaxed
# * magnetization: 4.24 μB per formula unit
# * density of states at the Fermi level: 0.70 states/eV per atom
# * space group: P4/mmm
data_MnGeP2Cl
_chemical_formula_sum 'Mn1 Ge1 P2 Cl1'
_cell_length_a 4.714
_cell_length_b 4.714
_cell_length_c 4.787
_cell_angle_alpha 90.00
_cell_angle_beta 90.00
_cell_angle_gamma 90.00
_space_group_name_H-M_alt 'P 1'
_space_group_IT_number 1
loop_
_space_group_symop_operation_xyz
'x,y,z'
loop_
_atom_site_label
_atom_site_type_symbol
_atom_site_fract_x
_atom_site_fract_y
_atom_site_fract_z
Mn1 Mn 0.000 0.000 0.000
Ge1 Ge 0.500 0.500 0.500
P1 P 0.000 0.500 0.500
P2 P 0.500 0.000 0.500
Cl1 Cl 0.500 0.500 0.000

***

Arrangement B

# MnGeP2Cl | the Alexandria database | PBE | relaxed
# * magnetization: 1.28 μB per formula unit
# * density of states at the Fermi level: 0.70 states/eV per atom
# * space group: P4/mmm
data_MnGeP2Cl
_chemical_formula_sum 'Mn1 Ge1 P2 Cl1'
_cell_length_a 4.322
_cell_length_b 4.322
_cell_length_c 5.160
_cell_angle_alpha 90.00
_cell_angle_beta 90.00
_cell_angle_gamma 90.00
_space_group_name_H-M_alt 'P 1'
_space_group_IT_number 1
loop_
_space_group_symop_operation_xyz
'x,y,z'
loop_
_atom_site_label
_atom_site_type_symbol
_atom_site_fract_x
_atom_site_fract_y
_atom_site_fract_z
Mn1 Mn 0.000 0.000 0.000
Ge1 Ge 0.500 0.500 0.500
P1 P 0.000 0.500 0.000
P2 P 0.500 0.000 0.000
Cl1 Cl 0.000 0.000 0.500

***

Computed energies relative to the best structure, in meV/atom: arrangement A 371; arrangement B 0